Record 1
Density functional theory data (PBE-GGA) for a geometry-optimized Tb2LuPu structure.

Calculated values
ΔE to the lowest computed polymorph (meV/atom): 90
Energy relative to the elements (eV/f.u.): 0.755
VASP energy (eV for the cell shown): -109.4

Cell lengths 7.8554, 7.8554, 7.8554 Å; angles 90.00, 90.00, 90.00 degrees
Last column: nearest neighbours and their distance in Å.
Space group Fm-3m (No. 225)
Inequivalent atoms, fractional coordinates:
Tb  0.2500  0.2500  0.2500 x8  4 Pu 3.40, 4 Lu 3.40
Lu  0.0000  0.0000  0.0000 x4  8 Tb 3.40
Pu  0.0000  0.0000  0.5000 x4  8 Tb 3.40

---

Record 2
Density functional theory data (PBE-GGA) for a geometry-optimized Tb2LuPu structure.

Calculated values
ΔE to the lowest computed polymorph (meV/atom): 0
Energy relative to the elements (eV/f.u.): 0.397
VASP energy (eV for the cell shown): -27.7

Cell lengths 3.4775, 3.4775, 9.9637 Å; angles 90.00, 90.00, 90.00 degrees
Last column: nearest neighbours and their distance in Å.
Space group P4/mmm (No. 123)
Inequivalent atoms, fractional coordinates:
Tb  0.0000  0.0000  0.2479 x2  4 Tb 3.48, 4 Pu 3.49, 4 Lu 3.52
Lu  0.5000  0.5000  0.5000 x1  4 Lu 3.48, 8 Tb 3.52
Pu  0.5000  0.5000  0.0000 x1  4 Pu 3.48, 8 Tb 3.49

---

Record 3
Density functional theory data (PBE-GGA) for a geometry-optimized TbLuPu2 structure.

Calculated values
ΔE to the lowest computed polymorph (meV/atom): 4
Energy relative to the elements (eV/f.u.): 0.666
VASP energy (eV for the cell shown): -37.1

Cell lengths 4.7820, 4.7820, 5.0160 Å; angles 90.00, 90.00, 90.00 degrees
Last column: nearest neighbours and their distance in Å.
Space group P4/mmm (No. 123)
Inequivalent atoms, fractional coordinates:
Tb  0.0000  0.0000  0.0000 x1  4 Lu 3.38, 8 Pu 3.47
Lu  0.5000  0.5000  0.0000 x1  4 Tb 3.38, 8 Pu 3.47
Pu  0.0000  0.5000  0.5000 x2  4 Pu 3.38, 4 Tb 3.47, 4 Lu 3.47

---

Record 4
Density functional theory data (PBE-GGA) for a geometry-optimized TbLuPuTh structure.

Calculated values
Energy relative to the elements (eV/f.u.): 0.780
VASP energy (eV for the cell shown): -120.5

Cell lengths 7.8368, 7.8368, 7.8368 Å; angles 90.00, 90.00, 90.00 degrees
Last column: nearest neighbours and their distance in Å.
Space group F-43m (No. 216)
Inequivalent atoms, fractional coordinates:
Tb  0.0000  0.0000  0.0000 x4  4 Pu 3.39, 4 Lu 3.39
Lu  0.2500  0.2500  0.2500 x4  4 Tb 3.39, 4 Th 3.39
Pu  0.2500  0.2500  0.7500 x4  4 Tb 3.39, 4 Th 3.39
Th  0.0000  0.0000  0.5000 x4  4 Pu 3.39, 4 Lu 3.39

---

Record 5
Density functional theory data (PBE-GGA) for a geometry-optimized TbLuPuTl structure.

Calculated values
Energy relative to the elements (eV/f.u.): 0.205
VASP energy (eV for the cell shown): -102.6

Cell lengths 7.6661, 7.6661, 7.6661 Å; angles 90.00, 90.00, 90.00 degrees
Last column: nearest neighbours and their distance in Å.
Space group F-43m (No. 216)
Inequivalent atoms, fractional coordinates:
Tb  0.0000  0.0000  0.0000 x4  4 Lu 3.32, 4 Tl 3.32
Lu  0.2500  0.2500  0.2500 x4  4 Tb 3.32, 4 Pu 3.32
Pu  0.0000  0.0000  0.5000 x4  4 Tl 3.32, 4 Lu 3.32
Tl  0.2500  0.2500  0.7500 x4  4 Tb 3.32, 4 Pu 3.32

---

Record 6
Density functional theory data (PBE-GGA) for a geometry-optimized TbYLuPu structure.

Calculated values
Energy relative to the elements (eV/f.u.): 0.758
VASP energy (eV for the cell shown): -116.8

Cell lengths 7.8711, 7.8711, 7.8711 Å; angles 90.00, 90.00, 90.00 degrees
Last column: nearest neighbours and their distance in Å.
Space group F-43m (No. 216)
Inequivalent atoms, fractional coordinates:
Tb  0.0000  0.0000  0.0000 x4  4 Y 3.41, 4 Lu 3.41
Y  0.2500  0.2500  0.2500 x4  4 Tb 3.41, 4 Pu 3.41
Lu  0.2500  0.2500  0.7500 x4  4 Tb 3.41, 4 Pu 3.41
Pu  0.0000  0.0000  0.5000 x4  4 Y 3.41, 4 Lu 3.41

---

Record 7
Density functional theory data (PBE-GGA) for a geometry-optimized LuPuTc2 structure.

Calculated values
ΔE to the lowest computed polymorph (meV/atom): 0
Energy relative to the elements (eV/f.u.): -0.244
VASP energy (eV for the cell shown): -39.8

Cell lengths 3.3424, 3.3424, 6.8038 Å; angles 90.00, 90.00, 90.00 degrees
Last column: nearest neighbours and their distance in Å.
Space group P4/mmm (No. 123)
Inequivalent atoms, fractional coordinates:
Lu  0.0000  0.0000  0.0000 x1  8 Tc 3.02, 4 Lu 3.34
Pu  0.0000  0.0000  0.5000 x1  8 Tc 2.81
Tc  0.5000  0.5000  0.2754 x2  4 Pu 2.81, 4 Lu 3.02, 1 Tc 3.06

---

Record 8
Density functional theory data (PBE-GGA) for a geometry-optimized LuPuTc structure.

Calculated values
ΔE to the lowest computed polymorph (meV/atom): 59
Energy relative to the elements (eV/f.u.): 0.104
VASP energy (eV for the cell shown): -29.1

Cell lengths 4.6473, 4.6473, 3.4406 Å; angles 90.00, 90.00, 120.00 degrees
Last column: nearest neighbours and their distance in Å.
Space group P-6m2 (No. 187)
Inequivalent atoms, fractional coordinates:
Lu  0.0000  0.0000  0.0000 x1  6 Pu 3.19, 6 Tc 3.19, 2 Lu 3.44
Pu  0.3333  0.6667  0.5000 x1  3 Tc 2.68
Tc  0.6667  0.3333  0.5000 x1  3 Pu 2.68

---

Please write out number 8 again, unchanged.
Density functional theory data (PBE-GGA) for a geometry-optimized LuPuTc structure.

Calculated values
ΔE to the lowest computed polymorph (meV/atom): 59
Energy relative to the elements (eV/f.u.): 0.104
VASP energy (eV for the cell shown): -29.1

Cell lengths 4.6473, 4.6473, 3.4406 Å; angles 90.00, 90.00, 120.00 degrees
Last column: nearest neighbours and their distance in Å.
Space group P-6m2 (No. 187)
Inequivalent atoms, fractional coordinates:
Lu  0.0000  0.0000  0.0000 x1  6 Pu 3.19, 6 Tc 3.19, 2 Lu 3.44
Pu  0.3333  0.6667  0.5000 x1  3 Tc 2.68
Tc  0.6667  0.3333  0.5000 x1  3 Pu 2.68

---

Among the records above, which one has the highest energy relative to the elements?
TbLuPuTh